The following is a PBE calculation of AlCdH2 after structural relaxation, from Alexandria.

a = 3.061 Å, b = 3.061 Å, c = 6.547 Å
α = 76.48°, β = 76.48°, γ = 60.00°
Fractional positions:
H (0.124, 0.124, 0.627)
H (0.876, 0.876, 0.373)
Al (0.500, 0.500, 0.500)
Cd (0.000, 0.000, 0.000)

Its density of states at the Fermi level is 1.3 states/eV per cell. As for the crystal system: trigonal. The space group is R-3m. The total energy is -2.54 eV/atom.

The following is a PBE calculation of TbSc2AgO after structural relaxation, from Alexandria.

a = 4.437 Å, b = 4.437 Å, c = 4.774 Å
α = 90.00°, β = 90.00°, γ = 90.00°
Fractional positions:
Tb (0.000, 0.000, 0.500)
Sc (0.000, 0.500, 0.000)
Sc (0.500, 0.000, 0.000)
Ag (0.500, 0.500, 0.500)
O (0.000, 0.000, 0.000)

The formation energy without anion corrections is -6.4 eV per formula unit. Its density of states at the Fermi level is 5.7 states/eV per cell. As for the crystal system: tetragonal. The space group is P4/mmm.

The following is a PBE calculation of CsRh2S3 after structural relaxation, from Alexandria.

a = 5.581 Å, b = 7.542 Å, c = 7.915 Å
α = 118.45°, β = 90.00°, γ = 90.00°
Fractional positions:
Cs (0.750, 0.262, 0.524)
Cs (0.250, 0.738, 0.476)
Rh (0.500, 0.187, 0.000)
Rh (0.500, 0.813, 0.000)
Rh (0.000, 0.813, 0.000)
Rh (0.000, 0.187, 0.000)
S (0.250, 0.539, 0.804)
S (0.750, 0.461, 0.196)
S (0.750, 0.735, 0.196)
S (0.250, 0.265, 0.804)
S (0.250, 0.088, 0.177)
S (0.750, 0.912, 0.823)

The formation energy without anion corrections is -3.1 eV per formula unit. Its density of states at the Fermi level is 5.4 states/eV per cell. As for the crystal system: orthorhombic. The space group is Cmcm.

The following is a PBE calculation of Ce3GaPt4 after structural relaxation, from Alexandria.

a = 3.999 Å, b = 6.593 Å, c = 8.069 Å
α = 114.12°, β = 104.35°, γ = 90.00°
Each line ends with the local moment (μB).
Fractional positions:
Ce (0.000, 0.500, 0.000)  0.64
Ce (0.190, 0.190, 0.380)  0.58
Ce (0.810, 0.810, 0.620)  0.58
Ga (0.500, 0.000, 0.000)  0.00
Pt (0.379, 0.588, 0.757)  -0.02
Pt (0.621, 0.412, 0.243)  -0.02
Pt (0.621, 0.831, 0.243)  -0.02
Pt (0.379, 0.169, 0.757)  -0.02

Its density of states at the Fermi level is 14.5 states/eV per cell. As for the crystal system: orthorhombic. The energy of formation from the pure elements comes out at -0.957 eV per atom. The space group is Immm.

The following is a PBE calculation of LaMgSe2N after structural relaxation, from Alexandria.

a = 5.183 Å, b = 5.183 Å, c = 4.086 Å
α = 90.00°, β = 90.00°, γ = 90.00°
Each line ends with the local moment (μB).
Fractional positions:
Mg (0.000, 0.000, 0.000)  -0.01
N (0.000, 0.000, 0.500)  1.07
Se (0.000, 0.500, 0.000)  0.13
Se (0.500, 0.000, 0.000)  0.13
La (0.500, 0.500, 0.500)  0.01

The formation energy without anion corrections is -3.1 eV per formula unit. Its density of states at the Fermi level is 1.1 states/eV per cell. As for the crystal system: tetragonal. The space group is P4/mmm.

The following is a PBE calculation of Ga2AgPt after structural relaxation, from Alexandria.

a = 3.449 Å, b = 2.775 Å, c = 7.688 Å
α = 90.00°, β = 90.36°, γ = 90.00°
Fractional positions:
Ga (0.003, 0.000, 0.701)
Ga (0.997, 0.000, 0.299)
Ag (0.000, 0.500, 0.000)
Pt (0.500, 0.500, 0.500)

Its density of states at the Fermi level is 1.1 states/eV per cell. As for the crystal system: monoclinic. The energy of formation from the pure elements comes out at -0.291 eV per atom. The space group is P2/m.

The following is a PBE calculation of Ba8H after structural relaxation, from Alexandria.

a = 8.870 Å, b = 8.870 Å, c = 7.199 Å
α = 90.00°, β = 90.00°, γ = 120.00°
Fractional positions:
H (0.333, 0.167, 0.250)
Ba (0.495, 0.489, 0.007)
Ba (0.495, 0.005, 0.007)
Ba (0.011, 0.005, 0.007)
Ba (0.000, 0.500, 0.995)
Ba (0.172, 0.328, 0.493)
Ba (0.172, 0.844, 0.493)
Ba (0.667, 0.833, 0.505)
Ba (0.656, 0.328, 0.493)

Its density of states at the Fermi level is 12.3 states/eV per cell. As for the crystal system: trigonal. The space group is P-3m1. The total energy is -2.13 eV/atom.

The following is a PBE calculation of LaTi3Pb after structural relaxation, from Alexandria.

a = 4.848 Å, b = 4.848 Å, c = 4.848 Å
α = 90.00°, β = 90.00°, γ = 90.00°
Fractional positions:
Pb (0.500, 0.500, 0.500)
Ti (0.000, 0.500, 0.000)
Ti (0.000, 0.000, 0.500)
Ti (0.500, 0.000, 0.000)
La (0.000, 0.000, 0.000)

Its density of states at the Fermi level is 5.1 states/eV per cell. As for the crystal system: cubic. The energy of formation from the pure elements comes out at 1.099 eV per atom. The space group is Pm-3m.

The following is a PBE calculation of KRhSe3 after structural relaxation, from Alexandria.

a = 5.482 Å, b = 5.482 Å, c = 5.482 Å
α = 90.00°, β = 90.00°, γ = 90.00°
Fractional positions:
K (0.000, 0.000, 0.000)
Rh (0.500, 0.500, 0.500)
Se (0.000, 0.500, 0.000)
Se (0.000, 0.000, 0.500)
Se (0.500, 0.000, 0.000)

The formation energy without anion corrections is 8.1 eV per formula unit. Its density of states at the Fermi level is 17.7 states/eV per cell. As for the crystal system: cubic. The space group is Pm-3m.

The following is a PBE calculation of RbSnIN2 after structural relaxation, from Alexandria.

a = 4.555 Å, b = 4.555 Å, c = 6.360 Å
α = 90.00°, β = 90.00°, γ = 90.00°
Each line ends with the local moment (μB).
Fractional positions:
I (0.000, 0.000, 0.500)  0.03
Sn (0.000, 0.000, 0.000)  -0.11
Rb (0.500, 0.500, 0.500)  0.00
N (0.000, 0.500, 0.000)  0.80
N (0.500, 0.000, 0.000)  0.80

The formation energy without anion corrections is 4.1 eV per formula unit. Its density of states at the Fermi level is 3.5 states/eV per cell. As for the crystal system: tetragonal. The space group is P4/mmm.

The following is a PBE calculation of Th2Ga6Cu3 after structural relaxation, from Alexandria.

a = 4.161 Å, b = 7.568 Å, c = 7.568 Å
α = 120.00°, β = 90.00°, γ = 90.00°
Fractional positions:
Th (0.000, 0.667, 0.333)
Th (0.000, 0.333, 0.667)
Ga (0.500, 0.683, 0.683)
Ga (0.500, 0.000, 0.317)
Ga (0.000, 0.196, 0.196)
Ga (0.000, 0.804, 0.000)
Ga (0.500, 0.317, 0.000)
Ga (0.000, 0.000, 0.804)
Cu (0.500, 0.361, 0.361)
Cu (0.500, 0.639, 0.000)
Cu (0.500, 0.000, 0.639)

Its density of states at the Fermi level is 7.4 states/eV per cell. As for the crystal system: hexagonal. The energy of formation from the pure elements comes out at -0.387 eV per atom. The space group is P-62m.

The following is a PBE calculation of TaTiGe2 after structural relaxation, from Alexandria.

a = 3.670 Å, b = 3.670 Å, c = 6.454 Å
α = 73.48°, β = 73.48°, γ = 60.00°
Fractional positions:
Ta (0.500, 0.500, 0.500)
Ti (0.000, 0.000, 0.000)
Ge (0.252, 0.252, 0.244)
Ge (0.748, 0.748, 0.756)

Its density of states at the Fermi level is 1.9 states/eV per cell. As for the crystal system: trigonal. The energy of formation from the pure elements comes out at -0.220 eV per atom. The space group is R-3m.